The following is a DFT calculation (GGA-PBE) of a relaxed structure of La6CeIn.

Output
space-group type = P4/mmm (123)
calculated total energy = -4.891 eV/atom
ΔE_f = -0.89 eV per formula unit
ρ = 6.8 Mg/m³

Cell: 5.0960 5.0960 10.2929 Å, 90.00 90.00 90.00°
Positions (direct):
La 0.5000 0.0000 0.2491
La 0.5000 0.5000 0.0000
Ce 0.0000 0.0000 0.5000
La 0.5000 0.5000 0.5000
La 0.0000 0.5000 0.2491
In 0.0000 0.0000 0.0000
La 0.5000 0.0000 0.7509
La 0.0000 0.5000 0.7509

---

The following is a DFT calculation (GGA-PBE) of a relaxed structure of DyMgTl.

Output
space-group type = F-43m (216)
calculated total energy = -3.027 eV/atom
ΔE_f = -0.52 eV per formula unit
ρ = 7.5 Mg/m³

Cell: 4.9673 4.9673 4.9673 Å, 60.00 60.00 60.00°
Positions (direct):
Dy 0.0000 0.0000 0.0000
Mg 0.5000 0.5000 0.5000
Tl 0.2500 0.2500 0.2500

---

The following is a DFT calculation (GGA-PBE) of a relaxed structure of SrFeAs2Ru.

Output
space-group type = I-4m2 (119)
calculated total energy = -6.323 eV/atom
ΔE_f = -2.90 eV per formula unit
ρ = 6.8 Mg/m³

Cell: 4.0948 4.0948 6.4488 Å, 108.51 108.51 90.00°
Positions (direct):
Sr 0.0000 0.0000 0.0000
Ru 0.2500 0.7500 0.5000
Fe 0.7500 0.2500 0.5000
As 0.3567 0.3567 0.7133
As 0.6433 0.6433 0.2867

---

The following is a DFT calculation (GGA-PBE) of a relaxed structure of V3CrSe4.

Output
formation energy without anion corrections = -2.536 eV per formula unit
space-group type = Pmn2_1 (31)
calculated total energy = -6.682 eV/atom
ρ = 5.5 Mg/m³

Cell: 6.7406 6.4735 7.1405 Å, 90.00 90.00 90.00°
Positions (direct):
V 0.6054 0.8526 0.0000
Se 0.1189 0.7770 0.5000
Se 0.6053 0.6423 0.7203
Cr 0.4556 0.9298 0.5000
V 0.4436 0.2618 0.3217
Se 0.1053 0.3577 0.7797
Se 0.1053 0.3577 0.2203
Se 0.6053 0.6423 0.2797
V 0.9436 0.7382 0.8217
V 0.9436 0.7382 0.1783
V 0.4436 0.2618 0.6783
Se 0.7376 0.1624 0.5000
Se 0.2376 0.8376 0.0000
V 0.1054 0.1474 0.5000
Cr 0.9556 0.0702 0.0000
Se 0.6189 0.2230 0.0000

---

The following is a DFT calculation (GGA-PBE) of a relaxed structure of Tl2InRe.

Output
space-group type = Pmm2 (25)
calculated total energy = -4.322 eV/atom
ΔE_f = 2.63 eV per formula unit
ρ = 12.5 Mg/m³
polymorph energy (0 for the lowest one) = 0.098 eV/atom

Cell: 2.9611 3.3765 9.4310 Å, 90.00 90.00 90.00°
Positions (direct):
In 0.0000 0.0000 0.5475
Tl 0.5000 0.5000 0.2608
Re 0.5000 0.5000 0.7378
Tl 0.0000 0.0000 0.9539

---

The following is a DFT calculation (GGA-PBE) of a relaxed structure of Al2Ni3Pd.

Output
space-group type = I4_1/amd (141)
calculated total energy = -5.418 eV/atom
ΔE_f = -2.49 eV per formula unit
ρ = 7.2 Mg/m³

Cell: 7.7959 7.7959 7.5245 Å, 121.20 121.20 90.00°
Positions (direct):
Al 0.9635 0.6459 0.2919
Ni 0.2835 0.7165 0.0000
Al 0.3541 0.0365 0.7081
Pd 0.6718 0.6718 0.3436
Ni 0.7165 0.2835 0.0000
Al 0.8959 0.7135 0.7919
Ni 0.6250 0.8750 0.7500
Al 0.3541 0.6716 0.7081
Al 0.2865 0.1041 0.2081
Ni 0.1250 0.3750 0.2500
Ni 0.1250 0.8750 0.2500
Pd 0.9218 0.4218 0.8436
Ni 0.9665 0.4665 0.5000
Ni 0.5335 0.4665 0.5000
Al 0.9216 0.1041 0.2081
Al 0.8959 0.0784 0.7919
Al 0.3284 0.6459 0.2919
Ni 0.5335 0.0335 0.5000
Ni 0.7165 0.7165 0.0000
Pd 0.5782 0.0782 0.1564
Ni 0.9665 0.0335 0.5000
Pd 0.3282 0.3282 0.6564
Ni 0.2835 0.2835 0.0000
Ni 0.1250 0.8750 0.7500

---

ρ of number 3 (SrFeAs2Ru)?
6.8 Mg/m³

---

What is the calculated total energy in the second record?
-3.027 eV/atom

---

Number 1 is which compound?
La6CeIn